1.
5
Lattice="4.670 0.000 0.000 0.000 4.670 0.000 0.000 0.000 4.670" Properties=species:S:1:pos:R:3 comment="InCo3P | the Alexandria database | PBE | relaxed" energy_ev_per_atom=-4.119 magmom_total_mub_per_cell=4.9 polymorph_energy_mev_per_atom=1726.2 e_form_mev_per_atom=1774 sg="No. 221" pbc="T T T"
In 0.000 0.000 0.000
Co 0.000 0.000 2.335
Co 0.000 2.335 0.000
Co 2.335 0.000 0.000
P 2.335 2.335 2.335

***

2.
10
Lattice="2.422 -13.897 0.000 2.422 13.897 0.000 0.000 0.000 4.936" Properties=species:S:1:pos:R:3 comment="SrBi2Pb2 | the Alexandria database | PBE | relaxed" energy_ev_per_atom=-3.704 magmom_total_mub_per_cell=0.0 e_form_mev_per_atom=-332 sg="No. 63" pbc="T T T"
Sr 2.422 9.534 3.702
Sr 2.422 -9.534 1.234
Bi 2.422 6.936 1.234
Bi 2.422 3.705 3.702
Bi 2.422 -3.705 1.234
Bi 2.422 -6.936 3.702
Pb 2.422 12.607 1.234
Pb 2.422 1.410 1.234
Pb 2.422 -1.410 3.702
Pb 2.422 -12.607 3.702

***

3.
6
Lattice="3.047 0.000 0.000 0.000 3.047 0.000 0.000 0.000 11.372" Properties=species:S:1:pos:R:3 comment="CaTa2Ir3 | the Alexandria database | PBE | relaxed" energy_ev_per_atom=-9.175 magmom_total_mub_per_cell=0.0 e_form_mev_per_atom=-460 sg="No. 123" pbc="T T T"
Ca 0.000 0.000 0.000
Ta 0.000 0.000 3.834
Ta 0.000 0.000 7.538
Ir 1.524 1.524 2.238
Ir 1.524 1.524 5.686
Ir 1.524 1.524 9.134

***

Q: Number 3 is which compound?
A: CaTa2Ir3

***

Q: What is the formula in the third record?
A: CaTa2Ir3